A geometry-optimized MnAuIO2 structure. Source: Alexandria, functional PBE+U.

a = 4.091 Å, b = 4.091 Å, c = 6.510 Å
α = 90.00°, β = 90.00°, γ = 90.00°
Site moments in Bohr magnetons follow the coordinates.
Sites, in units of the cell vectors:
I 0.000 0.000 0.500  0.04
Au 0.000 0.000 0.000  0.25
O 0.000 0.500 0.000  0.35
O 0.500 0.000 0.000  0.35
Mn 0.500 0.500 0.500  4.74

volume	21.8	Å³ per atom
N(E_F)	3.7	states/eV per cell
crystal system	tetragonal
SG	P4/mmm
energy above the most stable polymorph in this dataset	689	meV/atom